Entry i
First-principles (GGA-PBE) data for Pr4TmSe5 after structural relaxation, as listed in Alexandria.

Results
V ... 532.0 Å³/cell
DOS at the Fermi energy ... 0.490 states/eV/atom
Crystal system ... tetragonal

Cell: 4.2094 4.2094 30.0240 Å, 90.00 90.00 90.00°
Space group I4/mmm (No. 139)
Asymmetric unit:
Pr 0.0000 0.0000 0.1023 (multiplicity 4)
Pr 0.0000 0.0000 0.3063 (multiplicity 4)
Tm 0.0000 0.0000 0.5000 (multiplicity 2)
Se 0.0000 0.0000 0.0000 (multiplicity 2)
Se 0.0000 0.0000 0.2035 (multiplicity 4)
Se 0.0000 0.0000 0.4064 (multiplicity 4)



Entry ii
First-principles (GGA-PBE) data for Pr4TmSe5 after structural relaxation, as listed in Alexandria.

Results
V ... 795.8 Å³/cell
DOS at the Fermi energy ... 0.540 states/eV/atom
Crystal system ... trigonal

Cell: 4.1976 4.1976 52.1519 Å, 90.00 90.00 120.00°
Space group R-3m (No. 166, hexagonal axes)
Asymmetric unit:
Pr 0.0000 0.0000 0.1020 (multiplicity 6)
Pr 0.0000 0.0000 0.2991 (multiplicity 6)
Tm 0.0000 0.0000 0.5000 (multiplicity 3)
Se 0.0000 0.0000 0.0000 (multiplicity 3)
Se 0.0000 0.0000 0.1959 (multiplicity 6)
Se 0.0000 0.0000 0.4016 (multiplicity 6)



entry ii is the most stable structure; the next one sits 1.2 kJ/mol of atoms above it.



Entry i
First-principles (GGA-PBE) data for PrUSe3 after structural relaxation, as listed in Alexandria.

Results
V ... 565.5 Å³/cell
DOS at the Fermi energy ... 0.842 states/eV/atom
Crystal system ... monoclinic

Cell: 15.2001 4.0860 9.1171 Å, 90.00 92.87 90.00°
Space group C2/m (No. 12)
Asymmetric unit:
Pr 0.1113 0.0000 0.0784 (multiplicity 4)
U 0.1787 0.5000 0.6438 (multiplicity 4)
Se 0.0336 0.5000 0.8336 (multiplicity 4)
Se 0.1375 0.0000 0.4331 (multiplicity 4)
Se 0.2481 0.0000 0.8387 (multiplicity 4)



Entry ii
First-principles (GGA-PBE) data for PrUSe3 after structural relaxation, as listed in Alexandria.

Results
V ... 525.8 Å³/cell
DOS at the Fermi energy ... 1.165 states/eV/atom
Crystal system ... orthorhombic

Cell: 7.8074 4.1522 16.2205 Å, 90.00 90.00 90.00°
Space group Pnma (No. 62)
Asymmetric unit:
Pr 0.1179 0.2500 0.2038 (multiplicity 4)
U 0.2336 0.7500 0.4607 (multiplicity 4)
Se 0.0072 0.2500 0.3971 (multiplicity 4)
Se 0.1231 0.7500 0.0656 (multiplicity 4)
Se 0.1651 0.2500 0.7837 (multiplicity 4)



entry ii is the most stable structure; the next one sits 5.2 kJ/mol of atoms above it.



Entry i
First-principles (GGA-PBE) data for PrU2Se4 after structural relaxation, as listed in Alexandria.

Results
V ... 677.5 Å³/cell
DOS at the Fermi energy ... 1.795 states/eV/atom
Crystal system ... tetragonal

Cell: 8.7768 8.7768 8.7949 Å, 90.00 90.00 90.00°
Space group I-42d (No. 122)
Asymmetric unit:
Pr 0.0000 0.0000 0.0000 (multiplicity 4)
U 0.1269 0.7500 0.6250 (multiplicity 8)
Se 0.0784 0.6710 0.9467 (multiplicity 16)



Entry ii
First-principles (GGA-PBE) data for PrU2Se4 after structural relaxation, as listed in Alexandria.

Results
V ... 759.5 Å³/cell
DOS at the Fermi energy ... 1.727 states/eV/atom
Crystal system ... orthorhombic

Cell: 3.9965 13.5417 14.0331 Å, 90.00 90.00 90.00°
Space group Cmcm (No. 63)
Asymmetric unit:
Pr 0.0000 0.1134 0.2500 (multiplicity 4)
U 0.0000 0.3631 0.0631 (multiplicity 8)
Se 0.0000 0.0000 0.0000 (multiplicity 4)
Se 0.0000 0.2768 0.6258 (multiplicity 8)
Se 0.0000 0.4484 0.2500 (multiplicity 4)



entry i is the most stable structure; the next one sits 2.7 kJ/mol of atoms above it.



Entry i
First-principles (GGA-PBE) data for Pr2USe4 after structural relaxation, as listed in Alexandria.

Results
V ... 808.4 Å³/cell
DOS at the Fermi energy ... 1.024 states/eV/atom
Crystal system ... orthorhombic

Cell: 4.0957 14.0792 14.0186 Å, 90.00 90.00 90.00°
Space group Cmcm (No. 63)
Asymmetric unit:
Pr 0.0000 0.1332 0.0697 (multiplicity 8)
U 0.0000 0.3766 0.2500 (multiplicity 4)
Se 0.0000 0.0238 0.2500 (multiplicity 4)
Se 0.0000 0.2223 0.6281 (multiplicity 8)
Se 0.0000 0.5000 0.0000 (multiplicity 4)



Entry ii
First-principles (GGA-PBE) data for Pr2USe4 after structural relaxation, as listed in Alexandria.

Results
V ... 706.3 Å³/cell
DOS at the Fermi energy ... 1.256 states/eV/atom
Crystal system ... tetragonal

Cell: 8.9191 8.9191 8.8793 Å, 90.00 90.00 90.00°
Space group I-42d (No. 122)
Asymmetric unit:
Pr 0.1247 0.7500 0.1250 (multiplicity 8)
U 0.0000 0.0000 0.5000 (multiplicity 4)
Se 0.0749 0.6764 0.4552 (multiplicity 16)



entry ii is the most stable structure; the next one sits 4.2 kJ/mol of atoms above it.



Entry i
First-principles (GGA-PBE) data for Pr2YSe4 after structural relaxation, as listed in Alexandria.

Results
V ... 807.2 Å³/cell
DOS at the Fermi energy ... 0.311 states/eV/atom
Crystal system ... orthorhombic

Cell: 4.0485 14.0738 14.1674 Å, 90.00 90.00 90.00°
Space group Cmcm (No. 63)
Asymmetric unit:
Pr 0.0000 0.1301 0.0721 (multiplicity 8)
Y 0.0000 0.3721 0.2500 (multiplicity 4)
Se 0.0000 0.0187 0.2500 (multiplicity 4)
Se 0.0000 0.2191 0.6261 (multiplicity 8)
Se 0.0000 0.5000 0.0000 (multiplicity 4)



Entry ii
First-principles (GGA-PBE) data for Pr2YSe4 after structural relaxation, as listed in Alexandria.

Results
V ... 825.2 Å³/cell
DOS at the Fermi energy ... 0.309 states/eV/atom
Crystal system ... orthorhombic

Cell: 8.3531 8.4625 11.6738 Å, 90.00 90.00 90.00°
Space group Imma (No. 74)
Asymmetric unit:
Pr 0.0000 0.0000 0.0000 (multiplicity 4)
Pr 0.2500 0.2500 0.2500 (multiplicity 4)
Y 0.2500 0.2500 0.7500 (multiplicity 4)
Se 0.0000 0.0089 0.7423 (multiplicity 8)
Se 0.2488 0.2500 0.5046 (multiplicity 8)



entry ii is the most stable structure; the next one sits 3.7 kJ/mol of atoms above it.